# Sm3Th2Se8, optimized geometry, DFT GGA-PBE
data_Sm3Th2Se8
_space_group_name_H-M_alt 'C m m m'
_space_group_IT_number 65
_space_group_name_Hall '-C 2 2'
_cell_length_a 10.104
_cell_length_b 14.201
_cell_length_c 4.989
_cell_angle_alpha 90.00
_cell_angle_beta 90.00
_cell_angle_gamma 90.00
loop_
_atom_site_label
_atom_site_type_symbol
_atom_site_fract_x
_atom_site_fract_y
_atom_site_fract_z
Sm1 Sm 0.000 0.000 0.000
Sm2 Sm 0.221 0.500 0.500
Th1 Th 0.000 0.257 0.000
Se1 Se 0.000 0.121 0.500
Se2 Se 0.000 0.370 0.500
Se3 Se 0.244 0.125 0.000
# **Formation energy without anion corrections**: -1688 meV/atom
# **E**: -6.063 eV/atom
# **Total moment**: 1.65 μB per cell

=====

# Sm2Th2Se7, optimized geometry, DFT GGA-PBE
data_Sm2Th2Se7
_space_group_name_H-M_alt 'I m m 2'
_space_group_IT_number 44
_space_group_name_Hall 'I 2 -2'
_cell_length_a 4.228
_cell_length_b 14.833
_cell_length_c 9.182
_cell_angle_alpha 90.00
_cell_angle_beta 90.00
_cell_angle_gamma 90.00
loop_
_atom_site_label
_atom_site_type_symbol
_atom_site_fract_x
_atom_site_fract_y
_atom_site_fract_z
Sm1 Sm 0.000 0.000 0.000
Sm2 Sm 0.000 0.500 0.041
Th1 Th 0.000 0.238 0.246
Se1 Se 0.000 0.000 0.317
Se2 Se 0.000 0.112 0.724
Se3 Se 0.000 0.315 0.943
Se4 Se 0.000 0.359 0.546
# **Formation energy without anion corrections**: -1794 meV/atom
# **E**: -6.219 eV/atom
# **Total moment**: 0.00 μB per cell

=====

# SmTh3Se6, optimized geometry, DFT GGA-PBE
data_SmTh3Se6
_space_group_name_H-M_alt 'P 1 21/m 1'
_space_group_IT_number 11
_space_group_name_Hall '-P 2yb'
_cell_length_a 11.549
_cell_length_b 4.234
_cell_length_c 11.851
_cell_angle_alpha 90.00
_cell_angle_beta 104.32
_cell_angle_gamma 90.00
loop_
_atom_site_label
_atom_site_type_symbol
_atom_site_fract_x
_atom_site_fract_y
_atom_site_fract_z
Sm1 Sm 0.039 0.250 0.195
Th1 Th 0.169 0.250 0.557
Th2 Th 0.311 0.750 0.986
Th3 Th 0.393 0.250 0.346
Se1 Se 0.065 0.750 0.389
Se2 Se 0.117 0.250 0.958
Se3 Se 0.204 0.750 0.735
Se4 Se 0.238 0.750 0.209
Se5 Se 0.426 0.250 0.603
Se6 Se 0.469 0.250 0.116
# **Formation energy without anion corrections**: -1669 meV/atom
# **E**: -6.457 eV/atom
# **Total moment**: 0.00 μB per cell

=====

# SmTh6Se8, optimized geometry, DFT GGA-PBE
data_SmTh6Se8
_space_group_name_H-M_alt 'F m -3 m'
_space_group_IT_number 225
_space_group_name_Hall '-F 4 2 3'
_cell_length_a 11.823
_cell_length_b 11.823
_cell_length_c 11.823
_cell_angle_alpha 90.00
_cell_angle_beta 90.00
_cell_angle_gamma 90.00
loop_
_atom_site_label
_atom_site_type_symbol
_atom_site_fract_x
_atom_site_fract_y
_atom_site_fract_z
Sm1 Sm 0.000 0.000 0.000
Th1 Th 0.000 0.250 0.250
Se1 Se 0.000 0.000 0.256
Se2 Se 0.250 0.250 0.250
# **Formation energy without anion corrections**: -1641 meV/atom
# **E**: -6.782 eV/atom
# **Total moment**: 0.00 μB per cell

=====

# Sm3Th2Se6, optimized geometry, DFT GGA-PBE
data_Sm3Th2Se6
_space_group_name_H-M_alt 'C 1 2/m 1'
_space_group_IT_number 12
_space_group_name_Hall '-C 2y'
_cell_length_a 7.184
_cell_length_b 12.504
_cell_length_c 7.217
_cell_angle_alpha 90.00
_cell_angle_beta 109.59
_cell_angle_gamma 90.00
loop_
_atom_site_label
_atom_site_type_symbol
_atom_site_fract_x
_atom_site_fract_y
_atom_site_fract_z
Sm1 Sm 0.000 0.000 0.000
Sm2 Sm 0.000 0.335 0.000
Th1 Th 0.000 0.165 0.500
Se1 Se 0.241 0.500 0.256
Se2 Se 0.245 0.337 0.748
# **Formation energy without anion corrections**: -1775 meV/atom
# **E**: -6.312 eV/atom
# **Total moment**: 0.00 μB per cell

=====

# SmTh2Se3, optimized geometry, DFT GGA-PBE
data_SmTh2Se3
_space_group_name_H-M_alt 'P 1 21/c 1'
_space_group_IT_number 14
_space_group_name_Hall '-P 2ybc'
_cell_length_a 5.932
_cell_length_b 12.766
_cell_length_c 8.266
_cell_angle_alpha 90.00
_cell_angle_beta 90.00
_cell_angle_gamma 90.00
loop_
_atom_site_label
_atom_site_type_symbol
_atom_site_fract_x
_atom_site_fract_y
_atom_site_fract_z
Sm1 Sm 0.250 0.084 0.128
Th1 Th 0.250 0.083 0.622
Th2 Th 0.252 0.749 0.124
Se1 Se 0.248 0.248 0.875
Se2 Se 0.250 0.581 0.378
Se3 Se 0.250 0.583 0.870
# **Formation energy without anion corrections**: -1625 meV/atom
# **E**: -6.627 eV/atom
# **Total moment**: 0.00 μB per cell